(1)
First-principles (PBEsol) data for a relaxed structure of Ag2Pt3, as listed in Alexandria via LeMat-Bulk.

The structure in extended XYZ format:
```
10
Lattice="4.910 0.000 0.000 0.000 2.756 0.000 -1.979 0.000 11.430" Properties=species:S:1:pos:R:3 pbc="T T T"
Ag -0.635 0.689 4.556
Ag 0.140 2.067 9.133
Ag 2.792 0.689 2.297
Ag 3.567 2.067 6.875
Pt 0.361 2.067 2.263
Pt -0.772 0.689 11.427
Pt 1.147 0.689 6.839
Pt 1.784 2.067 4.591
Pt 3.703 2.067 0.004
Pt 2.570 0.689 9.168
```

Summary:
final energy: -54.7 eV for the cell shown
energy above the lowest structure with this stoichiometry: 48 meV/atom
SG: P2_1/m, No. 11
magnetic moment: 0.00 μB/cell
ΔE_f: 0.0278 eV per atom

(2)
First-principles (PBEsol) data for a relaxed structure of Ag2Pt3, as listed in Alexandria via LeMat-Bulk.

The structure in extended XYZ format:
```
5
Lattice="4.711 -1.376 0.000 4.711 1.376 0.000 -3.368 0.000 5.980" Properties=species:S:1:pos:R:3 pbc="T T T"
Ag 0.846 0.000 1.763
Ag 5.209 0.000 4.217
Pt -1.684 0.000 2.990
Pt 3.383 0.000 0.658
Pt 2.672 0.000 5.322
```

Summary:
final energy: -27.4 eV for the cell shown
energy above the lowest structure with this stoichiometry: 43 meV/atom
SG: C2/m, No. 12
magnetic moment: 0.00 μB/cell
ΔE_f: 0.0230 eV per atom

(3)
First-principles (PBEsol) data for a relaxed structure of AgPt, as listed in Alexandria via LeMat-Bulk.

The structure in extended XYZ format:
```
4
Lattice="2.770 0.000 0.000 0.000 2.770 0.000 0.000 0.000 8.151" Properties=species:S:1:pos:R:3 pbc="T T T"
Ag 0.692 0.692 1.051
Ag 2.077 2.077 7.101
Pt 0.692 0.692 5.052
Pt 2.077 2.077 3.099
```

Summary:
final energy: -20.5 eV for the cell shown
SG: P4/nmm, No. 129
magnetic moment: 0.00 μB/cell
ΔE_f: 0.0089 eV per atom

(4)
First-principles (PBEsol) data for a relaxed structure of Ag5Pt7, as listed in Alexandria via LeMat-Bulk.

The structure in extended XYZ format:
```
12
Lattice="6.248 0.000 0.000 0.000 3.963 0.000 -2.482 0.000 7.498" Properties=species:S:1:pos:R:3 pbc="T T T"
Ag 0.000 0.000 0.000
Ag -1.845 1.981 5.630
Ag 1.873 1.981 0.627
Ag 1.893 1.981 6.871
Ag 5.611 1.981 1.867
Pt -1.241 0.000 3.749
Pt 0.639 1.981 4.361
Pt 1.252 0.000 2.547
Pt 0.067 0.000 6.217
Pt 3.699 0.000 1.281
Pt 2.514 0.000 4.951
Pt 3.127 1.981 3.136
```

Summary:
final energy: -64.9 eV for the cell shown
energy above the lowest structure with this stoichiometry: 39 meV/atom
SG: P2/m, No. 10
magnetic moment: 0.00 μB/cell
ΔE_f: 0.0349 eV per atom

(5)
First-principles (PBEsol) data for a relaxed structure of AgPt, as listed in Alexandria via LeMat-Bulk.

The structure in extended XYZ format:
```
2
Lattice="2.749 0.000 0.000 0.000 2.749 0.000 0.000 0.000 4.136" Properties=species:S:1:pos:R:3 pbc="T T T"
Ag 0.000 0.000 0.000
Pt 1.374 1.374 2.068
```

Summary:
final energy: -10.2 eV for the cell shown
SG: P4/mmm, No. 123
magnetic moment: 0.00 μB/cell
ΔE_f: 0.0622 eV per atom

(6)
First-principles (PBEsol) data for a relaxed structure of Ag3Pt, as listed in Alexandria via LeMat-Bulk.

The structure in extended XYZ format:
```
4
Lattice="0.000 3.183 3.183 3.183 0.000 3.183 3.183 3.183 0.000" Properties=species:S:1:pos:R:3 pbc="T T T"
Ag 0.000 0.000 0.000
Ag 1.591 1.591 1.591
Ag 4.774 4.774 4.774
Pt 3.183 3.183 3.183
```

Summary:
final energy: -16.7 eV for the cell shown
SG: Fm-3m, No. 225
magnetic moment: 0.00 μB/cell
ΔE_f: 0.0610 eV per atom

(7)
First-principles (PBEsol) data for a relaxed structure of Ag7Pt5, as listed in Alexandria via LeMat-Bulk.

The structure in extended XYZ format:
```
12
Lattice="4.637 -4.215 0.000 4.637 4.215 0.000 -0.840 0.000 4.842" Properties=species:S:1:pos:R:3 pbc="T T T"
Ag 0.000 0.000 0.000
Ag 2.129 1.411 1.203
Ag 4.637 1.387 0.000
Ag 2.129 -1.411 1.203
Ag 6.305 1.411 3.639
Ag 4.637 -1.387 0.000
Ag 6.305 -1.411 3.639
Pt 4.217 2.844 2.421
Pt 1.661 0.000 3.566
Pt 4.217 0.000 2.421
Pt 6.773 0.000 1.276
Pt 4.217 -2.844 2.421
```

Summary:
final energy: -57.6 eV for the cell shown
energy above the lowest structure with this stoichiometry: 38 meV/atom
SG: C2/m, No. 12
magnetic moment: 0.00 μB/cell
ΔE_f: 0.0293 eV per atom

(8)
First-principles (PBEsol) data for a relaxed structure of Ag5Pt7, as listed in Alexandria via LeMat-Bulk.

The structure in extended XYZ format:
```
12
Lattice="2.771 -8.415 0.000 2.771 8.415 0.000 0.000 0.000 3.992" Properties=species:S:1:pos:R:3 pbc="T T T"
Ag 0.000 0.000 0.000
Ag 1.386 4.207 1.996
Ag 2.771 5.596 0.000
Ag 1.386 -4.207 1.996
Ag 2.771 -5.596 0.000
Pt 1.415 1.385 1.996
Pt 1.415 -1.385 1.996
Pt 2.771 2.719 0.000
Pt 2.771 0.000 0.000
Pt 2.771 -2.719 0.000
Pt 4.128 1.385 1.996
Pt 4.128 -1.385 1.996
```

Summary:
final energy: -64.8 eV for the cell shown
energy above the lowest structure with this stoichiometry: 46 meV/atom
SG: Cmmm, No. 65
magnetic moment: 0.00 μB/cell
ΔE_f: 0.0427 eV per atom